# Na2CaAgCl6

An optimized crystal structure of Na2CaAgCl6 (PBE, the Alexandria database).

Summary:
The energy is -32.843 eV/cell. Its space group is No. 99. The calculation puts the volume at 30.20 Å³ per atom. Its spin magnetization is 0.00 μB per formula unit.

Lattice parameters (Å, degrees): 5.227 7.601 7.601 90.00 90.00 90.00
Atoms (fractional coordinates):
Cl: 0.725 0.246 0.754
Cl: 0.725 0.754 0.246
Cl: 0.180 0.500 0.500
Cl: 0.725 0.246 0.246
Cl: 0.725 0.754 0.754
Cl: 0.204 0.000 0.000
Na: 0.898 0.000 0.500
Na: 0.898 0.500 0.000
Ca: 0.675 0.500 0.500
Ag: 0.695 0.000 0.000